Density functional theory data (PBE-GGA) for an optimized crystal structure of NaAl2SiNi.

Results
Total magnetic moment: 0.00 μB/cell
Uncorrected formation energy: 182 kJ/mol of formula units
Space-group type: P4/mmm (123)
Fermi-level density of states: 2.67 states/eV per cell

Cell lengths 4.498, 4.933, 4.498 Å; angles 90.00, 90.00, 90.00 degrees
Sites, in units of the cell vectors:
Ni (0.000, 0.000, 0.000)
Si (0.500, 0.500, 0.500)
Al (0.000, 0.000, 0.500)
Al (0.500, 0.000, 0.000)
Na (0.000, 0.500, 0.000)

Density functional theory data (PBE-GGA) for an optimized crystal structure of Ca2GePd2.

Results
Total magnetic moment: 0.00 μB/cell
Formation energy from the elements: -0.787 eV per atom
Space-group type: Fdd2 (43)
Fermi-level density of states: 2.74 states/eV per cell

Cell lengths 9.240, 8.240, 5.763 Å; angles 80.46, 61.58, 37.96 degrees
Sites, in units of the cell vectors:
Ca (0.032, 0.061, 0.636)
Ca (0.270, 0.636, 0.061)
Ca (0.614, 0.980, 0.218)
Ca (0.189, 0.218, 0.980)
Ge (0.897, 0.603, 0.603)
Ge (0.647, 0.353, 0.353)
Pd (0.614, 0.635, 0.063)
Pd (0.688, 0.063, 0.635)
Pd (0.187, 0.562, 0.636)
Pd (0.615, 0.636, 0.562)

Density functional theory data (PBE-GGA) for an optimized crystal structure of KMn2Ni.

Results
Total magnetic moment: 8.65 μB/cell
Formation energy from the elements: 0.627 eV per atom
Relative energy among the computed polymorphs: 0.060 eV/atom
Space-group type: C2/m (12)
Fermi-level density of states: 2.08 states/eV per cell

Cell lengths 4.175, 4.175, 7.651 Å; angles 85.55, 85.55, 40.76 degrees
Each line ends with the local moment (μB).
Sites, in units of the cell vectors:
K (0.250, 0.250, 0.250)  0.00
Mn (0.022, 0.022, 0.894)  3.71
Mn (0.478, 0.478, 0.606)  3.71
Ni (0.750, 0.750, 0.750)  0.78

Density functional theory data (PBE-GGA) for an optimized crystal structure of BaTeH2Os.

Results
Total magnetic moment: 3.02 μB/cell
Final energy: -18.257 eV/cell
Space-group type: P4/mmm (123)
Fermi-level density of states: 4.66 states/eV per cell

Cell lengths 4.434, 6.804, 4.434 Å; angles 90.00, 90.00, 90.00 degrees
Each line ends with the local moment (μB).
Sites, in units of the cell vectors:
H (0.000, 0.000, 0.500)  -0.04
H (0.500, 0.000, 0.000)  -0.02
Te (0.500, 0.500, 0.500)  0.17
Os (0.000, 0.000, 0.000)  2.45
Ba (0.000, 0.500, 0.000)  -0.01

Density functional theory data (PBE-GGA) for an optimized crystal structure of Cs2RbAg.

Results
Total magnetic moment: 0.00 μB/cell
Formation energy from the elements: 0.124 eV per atom
Relative energy among the computed polymorphs: 0.092 eV/atom
Space-group type: P4/mmm (123)
Fermi-level density of states: 1.47 states/eV per cell

Cell lengths 5.966, 6.606, 6.606 Å; angles 90.00, 90.00, 90.00 degrees
Sites, in units of the cell vectors:
Cs (0.000, 0.000, 0.500)
Cs (0.000, 0.500, 0.000)
Rb (0.500, 0.500, 0.500)
Ag (0.500, 0.000, 0.000)

Density functional theory data (PBE-GGA) for an optimized crystal structure of InHgBr2.

Results
Total magnetic moment: 0.00 μB/cell
Uncorrected formation energy: -130 kJ/mol of formula units
Relative energy among the computed polymorphs: 0.226 eV/atom
Space-group type: P2/m (10)
Fermi-level density of states: 2.75 states/eV per cell

Cell lengths 3.755, 3.810, 9.918 Å; angles 77.05, 90.00, 90.00 degrees
Sites, in units of the cell vectors:
Hg (0.500, 0.250, 0.250)
Br (0.000, 0.028, 0.927)
Br (0.000, 0.472, 0.573)
In (0.500, 0.750, 0.750)

Density functional theory data (PBE-GGA) for an optimized crystal structure of Ca3PCl3.

Results
Total magnetic moment: 0.00 μB/cell
Uncorrected formation energy: -1359 kJ/mol of formula units
Space-group type: Pm-3m (221)
Fermi-level density of states: 0.00 states/eV per cell

Cell lengths 5.714, 5.714, 5.714 Å; angles 90.00, 90.00, 90.00 degrees
Sites, in units of the cell vectors:
Ca (0.500, 0.000, 0.000)
Ca (0.000, 0.500, 0.000)
Ca (0.000, 0.000, 0.500)
Cl (0.000, 0.500, 0.500)
Cl (0.500, 0.000, 0.500)
Cl (0.500, 0.500, 0.000)
P (0.000, 0.000, 0.000)

Density functional theory data (PBE-GGA) for an optimized crystal structure of Mg2ScMnMo.

Results
Total magnetic moment: 2.35 μB/cell
Formation energy from the elements: 0.819 eV per atom
Space-group type: P4/mmm (123)
Fermi-level density of states: 4.91 states/eV per cell

Cell lengths 5.102, 5.102, 4.408 Å; angles 90.00, 90.00, 90.00 degrees
Each line ends with the local moment (μB).
Sites, in units of the cell vectors:
Sc (0.500, 0.500, 0.500)  0.08
Mo (0.000, 0.000, 0.000)  -0.57
Mn (0.000, 0.000, 0.500)  2.63
Mg (0.000, 0.500, 0.000)  0.00
Mg (0.500, 0.000, 0.000)  0.00

Density functional theory data (PBE-GGA) for an optimized crystal structure of Ac3Pr2Nd4.

Results
Total magnetic moment: 0.00 μB/cell
Formation energy from the elements: 0.091 eV per atom
Relative energy among the computed polymorphs: 0.063 eV/atom
Space-group type: C2/c (15)
Fermi-level density of states: 29.90 states/eV per cell

Cell lengths 6.445, 11.832, 11.832 Å; angles 63.42, 63.54, 63.54 degrees
Sites, in units of the cell vectors:
Ac (0.752, 0.040, 0.293)
Ac (0.748, 0.707, 0.960)
Ac (0.248, 0.960, 0.707)
Ac (0.252, 0.293, 0.040)
Ac (0.250, 0.627, 0.373)
Ac (0.750, 0.373, 0.627)
Pr (0.427, 0.263, 0.512)
Pr (0.073, 0.488, 0.737)
Pr (0.573, 0.737, 0.488)
Pr (0.927, 0.512, 0.263)
Nd (0.426, 0.931, 0.178)
Nd (0.074, 0.822, 0.069)
Nd (0.574, 0.069, 0.822)
Nd (0.926, 0.178, 0.931)
Nd (0.077, 0.154, 0.402)
Nd (0.423, 0.598, 0.846)
Nd (0.923, 0.846, 0.598)
Nd (0.577, 0.402, 0.154)

Density functional theory data (PBE-GGA) for an optimized crystal structure of TlSn3Hg2.

Results
Total magnetic moment: 0.00 μB/cell
Formation energy from the elements: 0.049 eV per atom
Space-group type: P2_1/m (11)
Fermi-level density of states: 2.61 states/eV per cell

Cell lengths 3.322, 9.877, 11.126 Å; angles 107.90, 90.00, 90.00 degrees
Sites, in units of the cell vectors:
Tl (0.750, 0.670, 0.340)
Tl (0.250, 0.330, 0.660)
Sn (0.250, 0.125, 0.131)
Sn (0.750, 0.875, 0.869)
Sn (0.250, 0.142, 0.852)
Sn (0.750, 0.858, 0.148)
Sn (0.750, 0.083, 0.419)
Sn (0.250, 0.917, 0.581)
Hg (0.750, 0.565, 0.906)
Hg (0.250, 0.435, 0.094)
Hg (0.250, 0.380, 0.382)
Hg (0.750, 0.620, 0.618)

Density functional theory data (PBE-GGA) for an optimized crystal structure of Y4Sc5.

Results
Total magnetic moment: 0.00 μB/cell
Formation energy from the elements: 0.073 eV per atom
Relative energy among the computed polymorphs: 0.012 eV/atom
Space-group type: P6_3/mcm (193)
Fermi-level density of states: 27.03 states/eV per cell

Cell lengths 9.283, 9.283, 6.684 Å; angles 90.00, 90.00, 120.00 degrees
Sites, in units of the cell vectors:
Sc (0.000, 0.689, 0.250)
Sc (0.311, 0.311, 0.250)
Sc (0.689, 0.000, 0.250)
Sc (0.000, 0.311, 0.750)
Sc (0.689, 0.689, 0.750)
Sc (0.311, 0.000, 0.750)
Sc (0.667, 0.333, 0.000)
Sc (0.333, 0.667, 0.500)
Sc (0.333, 0.667, 0.000)
Sc (0.667, 0.333, 0.500)
Y (0.000, 0.000, 0.000)
Y (0.000, 0.000, 0.500)
Y (0.000, 0.363, 0.250)
Y (0.637, 0.637, 0.250)
Y (0.363, 0.000, 0.250)
Y (0.000, 0.637, 0.750)
Y (0.363, 0.363, 0.750)
Y (0.637, 0.000, 0.750)

Density functional theory data (PBE-GGA) for an optimized crystal structure of Y3ErTl2.

Results
Total magnetic moment: 0.00 μB/cell
Formation energy from the elements: -0.294 eV per atom
Space-group type: Pmc2_1 (26)
Fermi-level density of states: 12.93 states/eV per cell

Cell lengths 5.080, 6.809, 10.002 Å; angles 90.00, 90.00, 90.00 degrees
Sites, in units of the cell vectors:
Y (0.000, 0.453, 0.958)
Y (0.000, 0.953, 0.042)
Y (0.500, 0.673, 0.190)
Y (0.500, 0.173, 0.810)
Y (0.000, 0.326, 0.314)
Y (0.000, 0.826, 0.686)
Er (0.500, 0.546, 0.541)
Er (0.500, 0.046, 0.459)
Tl (0.500, 0.708, 0.867)
Tl (0.500, 0.208, 0.133)
Tl (0.000, 0.294, 0.633)
Tl (0.000, 0.794, 0.367)

Density functional theory data (PBE-GGA) for an optimized crystal structure of MnBe2Nb2Os5.

Results
Total magnetic moment: 3.92 μB/cell
Formation energy from the elements: -0.218 eV per atom
Space-group type: P4/mbm (127)
Fermi-level density of states: 10.48 states/eV per cell

Cell lengths 3.107, 9.319, 9.319 Å; angles 90.00, 90.00, 90.00 degrees
Each line ends with the local moment (μB).
Sites, in units of the cell vectors:
Mn (0.000, 0.000, 0.000)  2.32
Mn (0.000, 0.500, 0.500)  2.32
Be (0.000, 0.124, 0.624)  0.01
Be (0.000, 0.876, 0.376)  0.01
Be (0.000, 0.624, 0.876)  0.01
Be (0.000, 0.376, 0.124)  0.01
Nb (0.000, 0.675, 0.175)  -0.01
Nb (0.000, 0.325, 0.825)  -0.01
Nb (0.000, 0.175, 0.325)  -0.01
Nb (0.000, 0.825, 0.675)  -0.01
Os (0.500, 0.206, 0.070)  -0.08
Os (0.500, 0.794, 0.930)  -0.08
Os (0.500, 0.070, 0.794)  -0.08
Os (0.500, 0.706, 0.430)  -0.08
Os (0.500, 0.930, 0.206)  -0.08
Os (0.500, 0.294, 0.570)  -0.08
Os (0.500, 0.570, 0.706)  -0.08
Os (0.500, 0.430, 0.294)  -0.08
Os (0.500, 0.500, 0.000)  -0.08
Os (0.500, 0.000, 0.500)  -0.08

Density functional theory data (PBE-GGA) for an optimized crystal structure of Dy7AuS5.

Results
Total magnetic moment: 0.00 μB/cell
Uncorrected formation energy: -2124 kJ/mol of formula units
Space-group type: P2_1/m (11)
Fermi-level density of states: 13.38 states/eV per cell

Cell lengths 3.888, 6.740, 23.538 Å; angles 90.00, 90.00, 106.88 degrees
Sites, in units of the cell vectors:
Dy (0.472, 0.943, 0.250)
Dy (0.529, 0.058, 0.750)
Dy (0.638, 0.274, 0.036)
Dy (0.363, 0.727, 0.964)
Dy (0.363, 0.727, 0.536)
Dy (0.638, 0.274, 0.464)
Dy (0.186, 0.372, 0.175)
Dy (0.815, 0.630, 0.825)
Dy (0.815, 0.629, 0.675)
Dy (0.186, 0.372, 0.325)
Dy (0.911, 0.821, 0.108)
Dy (0.090, 0.180, 0.892)
Dy (0.090, 0.180, 0.608)
Dy (0.911, 0.821, 0.392)
Au (0.798, 0.596, 0.250)
Au (0.202, 0.405, 0.750)
S (0.000, 0.001, 0.000)
S (0.726, 0.452, 0.930)
S (0.275, 0.549, 0.070)
S (0.548, 0.095, 0.359)
S (0.453, 0.906, 0.641)
S (0.000, 0.000, 0.500)
S (0.275, 0.549, 0.430)
S (0.726, 0.452, 0.570)
S (0.453, 0.906, 0.859)
S (0.548, 0.095, 0.141)

Density functional theory data (PBE-GGA) for an optimized crystal structure of ScMn2V2.

Results
Total magnetic moment: 1.47 μB/cell
Formation energy from the elements: 0.107 eV per atom
Relative energy among the computed polymorphs: 0.000 eV/atom
Space-group type: P4/mbm (127)
Fermi-level density of states: 13.23 states/eV per cell

Cell lengths 7.113, 7.113, 2.839 Å; angles 90.00, 90.00, 90.00 degrees
Each line ends with the local moment (μB).
Sites, in units of the cell vectors:
Sc (0.000, 0.000, 0.000)  -0.02
Sc (0.500, 0.500, 0.000)  -0.02
Mn (0.359, 0.859, 0.000)  1.30
Mn (0.859, 0.641, 0.000)  1.30
Mn (0.641, 0.141, 0.000)  1.30
Mn (0.141, 0.359, 0.000)  1.30
V (0.146, 0.646, 0.500)  -0.84
V (0.646, 0.854, 0.500)  -0.84
V (0.854, 0.354, 0.500)  -0.84
V (0.354, 0.146, 0.500)  -0.84

Density functional theory data (PBE-GGA) for an optimized crystal structure of YWSe2.

Results
Total magnetic moment: 0.00 μB/cell
Uncorrected formation energy: -190 kJ/mol of formula units
Relative energy among the computed polymorphs: 0.045 eV/atom
Space-group type: C2/m (12)
Fermi-level density of states: 1.93 states/eV per cell

Cell lengths 4.288, 4.288, 5.954 Å; angles 75.38, 75.38, 49.93 degrees
Sites, in units of the cell vectors:
Se (0.011, 0.011, 0.958)
Se (0.489, 0.489, 0.542)
W (0.750, 0.750, 0.750)
Y (0.250, 0.250, 0.250)

Density functional theory data (PBE-GGA) for an optimized crystal structure of SiAgPb2S4.

Results
Total magnetic moment: 0.00 μB/cell
Uncorrected formation energy: -159 kJ/mol of formula units
Space-group type: Imma (74)
Fermi-level density of states: 9.29 states/eV per cell

Cell lengths 7.893, 7.893, 8.138 Å; angles 121.03, 121.03, 89.55 degrees
Sites, in units of the cell vectors:
Si (0.500, 0.500, 0.500)
Si (0.000, 0.000, 0.000)
Ag (0.000, 0.500, 0.000)
Ag (0.000, 0.500, 0.500)
Pb (0.500, 0.000, 0.000)
Pb (0.500, 0.000, 0.500)
Pb (0.000, 0.000, 0.500)
Pb (0.500, 0.500, 0.000)
S (0.213, 0.757, 0.985)
S (0.743, 0.287, 0.515)
S (0.257, 0.713, 0.485)
S (0.787, 0.243, 0.015)
S (0.758, 0.742, 0.961)
S (0.758, 0.742, 0.539)
S (0.242, 0.258, 0.461)
S (0.242, 0.258, 0.039)

Density functional theory data (PBE-GGA) for an optimized crystal structure of Sr3Sm3YS8.

Results
Total magnetic moment: 0.00 μB/cell
Uncorrected formation energy: -3019 kJ/mol of formula units
Space-group type: R-3m (166)
Fermi-level density of states: 4.70 states/eV per cell

Cell lengths 8.127, 8.127, 8.341 Å; angles 119.15, 90.00, 120.00 degrees
Sites, in units of the cell vectors:
Sr (0.000, 0.000, 0.000)
Sr (0.000, 0.500, 0.000)
Sr (0.500, 0.500, 0.000)
Sm (0.500, 0.000, 0.500)
Sm (0.500, 0.500, 0.500)
Sm (0.000, 0.500, 0.500)
Y (0.000, 0.000, 0.500)
S (0.255, 0.509, 0.264)
S (0.745, 0.491, 0.736)
S (0.762, 0.523, 0.274)
S (0.238, 0.477, 0.726)
S (0.762, 0.012, 0.274)
S (0.238, 0.988, 0.726)
S (0.251, 0.012, 0.274)
S (0.749, 0.988, 0.726)

Density functional theory data (PBE-GGA) for an optimized crystal structure of SrZr2Mn.

Results
Total magnetic moment: 3.01 μB/cell
Formation energy from the elements: 0.650 eV per atom
Relative energy among the computed polymorphs: 0.337 eV/atom
Space-group type: I-4m2 (119)
Fermi-level density of states: 4.47 states/eV per cell

Cell lengths 5.606, 5.606, 5.606 Å; angles 130.73, 130.73, 72.24 degrees
Each line ends with the local moment (μB).
Sites, in units of the cell vectors:
Mn (0.500, 0.500, 0.000)  3.83
Sr (0.750, 0.250, 0.500)  -0.02
Zr (0.000, 0.000, 0.000)  -0.33
Zr (0.250, 0.750, 0.500)  -0.39

Density functional theory data (PBE-GGA) for an optimized crystal structure of CdPb2Au7.

Results
Total magnetic moment: 0.00 μB/cell
Formation energy from the elements: -0.041 eV per atom
Space-group type: P-4m2 (115)
Fermi-level density of states: 4.51 states/eV per cell

Cell lengths 4.022, 4.022, 13.786 Å; angles 90.00, 90.00, 90.00 degrees
Sites, in units of the cell vectors:
Cd (0.500, 0.500, 0.000)
Pb (0.500, 0.000, 0.745)
Pb (0.000, 0.500, 0.255)
Au (0.000, 0.500, 0.849)
Au (0.500, 0.000, 0.351)
Au (0.500, 0.000, 0.151)
Au (0.000, 0.500, 0.649)
Au (0.000, 0.000, 0.500)
Au (0.000, 0.000, 0.000)
Au (0.500, 0.500, 0.500)